Here is a geometry-optimized Dy2Ge structure from the Open Quantum Materials Database. Energies are from GGA-PBE.

- total magnetization (μB per cell) = 1.3
- raw total energy (eV/atom) = -5.23
- volume (A^3/atom) = 25.4

abc: 7.929 7.929 4.194
angles: 90.00 90.00 120.00
Fractional positions:
Ge (0.667, 0.333, 0.000)
Dy (0.402, 0.402, 0.500)
Dy (0.000, 0.598, 0.500)
Ge (0.333, 0.667, 0.000)
Dy (0.598, 0.000, 0.500)
Dy (0.734, 0.734, 0.000)
Dy (0.000, 0.266, 0.000)
Dy (0.266, 0.000, 0.000)
Ge (0.000, 0.000, 0.500)